(1)
VASP calculation (PBE-GGA) on crystalline Li2PrPb at its relaxed geometry.

Structure (CIF):
```
data_Li2PrPb
_cell_length_a 7.049
_cell_length_b 7.049
_cell_length_c 7.049
_cell_angle_alpha 90.00
_cell_angle_beta 90.00
_cell_angle_gamma 90.00
_space_group_name_H-M_alt 'F m -3 m'
_space_group_IT_number 225
_space_group_name_Hall '-F 4 2 3'
loop_
_atom_site_label
_atom_site_type_symbol
_atom_site_fract_x
_atom_site_fract_y
_atom_site_fract_z
Li1 Li 0.250 0.250 0.250
Pr1 Pr 0.000 0.000 0.000
Pb1 Pb 0.000 0.000 0.500
```

Computed properties:
**Energy relative to the lowest polymorph listed for this composition**: 0.0000 eV/atom
**Calculated volume**: 21.888 A^3/atom
**Energy of formation**: -34.25 kJ per mole of atoms
**Final energy**: -54.9 eV for the cell shown

=====

(2)
VASP calculation (PBE-GGA) on crystalline Zr3GaTc2 at its relaxed geometry.

Structure (CIF):
```
data_Zr3GaTc2
_cell_length_a 3.361
_cell_length_b 3.361
_cell_length_c 9.718
_cell_angle_alpha 90.00
_cell_angle_beta 90.00
_cell_angle_gamma 90.00
_space_group_name_H-M_alt 'P 4/m m m'
_space_group_IT_number 123
_space_group_name_Hall '-P 4 2'
loop_
_atom_site_label
_atom_site_type_symbol
_atom_site_fract_x
_atom_site_fract_y
_atom_site_fract_z
Zr1 Zr 0.000 0.000 0.000
Zr2 Zr 0.000 0.000 0.327
Ga1 Ga 0.500 0.500 0.500
Tc1 Tc 0.500 0.500 0.171
```

Computed properties:
**Calculated volume**: 18.301 A^3/atom
**Energy of formation**: -46.22 kJ per mole of atoms
**Final energy**: -52.3 eV for the cell shown

=====

(3)
VASP calculation (PBE-GGA) on crystalline LiTi5 at its relaxed geometry.

Structure (CIF):
```
data_LiTi5
_cell_length_a 4.589
_cell_length_b 14.398
_cell_length_c 3.022
_cell_angle_alpha 90.00
_cell_angle_beta 90.00
_cell_angle_gamma 90.00
_space_group_name_H-M_alt 'C m m m'
_space_group_IT_number 65
_space_group_name_Hall '-C 2 2'
loop_
_atom_site_label
_atom_site_type_symbol
_atom_site_fract_x
_atom_site_fract_y
_atom_site_fract_z
Li1 Li 0.000 0.000 0.000
Ti1 Ti 0.000 0.147 0.500
Ti2 Ti 0.000 0.318 0.000
Ti3 Ti 0.000 0.500 0.500
```

Computed properties:
**Calculated volume**: 16.639 A^3/atom
**Energy of formation**: 18.13 kJ per mole of atoms
**Final energy**: -80.5 eV for the cell shown

=====

(4)
VASP calculation (PBE-GGA) on crystalline Pu4SiAu at its relaxed geometry.

Structure (CIF):
```
data_Pu4SiAu
_cell_length_a 9.992
_cell_length_b 3.892
_cell_length_c 7.617
_cell_angle_alpha 90.00
_cell_angle_beta 111.65
_cell_angle_gamma 90.00
_space_group_name_H-M_alt 'C 1 2/m 1'
_space_group_IT_number 12
loop_
_space_group_symop_operation_xyz
'x,y,z'
'-x,-y,-z'
'-x,y,-z'
'x,-y,z'
'x+1/2,y+1/2,z'
'-x+1/2,-y+1/2,-z'
'-x+1/2,y+1/2,-z'
'x+1/2,-y+1/2,z'
loop_
_atom_site_label
_atom_site_type_symbol
_atom_site_fract_x
_atom_site_fract_y
_atom_site_fract_z
Pu1 Pu 0.155 0.000 0.317
Pu2 Pu 0.163 0.000 0.838
Si1 Si 0.000 0.500 0.000
Au1 Au 0.000 0.500 0.500
```

Computed properties:
**Calculated volume**: 22.942 A^3/atom
**Final energy**: -134.5 eV for the cell shown
**Formation energy from raw total energies**: -0.2066 eV/atom

=====

(5)
VASP calculation (PBE-GGA) on crystalline Nd6Sm2YHo at its relaxed geometry.

Structure (CIF):
```
data_Nd6Sm2YHo
_cell_length_a 9.245
_cell_length_b 15.485
_cell_length_c 9.764
_cell_angle_alpha 90.00
_cell_angle_beta 97.80
_cell_angle_gamma 90.00
_space_group_name_H-M_alt 'C 1 2/c 1'
_space_group_IT_number 15
loop_
_space_group_symop_operation_xyz
'x,y,z'
'-x,-y,-z'
'-x,y,-z+1/2'
'x,-y,z+1/2'
'x+1/2,y+1/2,z'
'-x+1/2,-y+1/2,-z'
'-x+1/2,y+1/2,-z+1/2'
'x+1/2,-y+1/2,z+1/2'
loop_
_atom_site_label
_atom_site_type_symbol
_atom_site_fract_x
_atom_site_fract_y
_atom_site_fract_z
Nd1 Nd 0.060 0.182 0.446
Nd2 Nd 0.104 0.394 0.618
Nd3 Nd 0.208 0.223 0.811
Sm1 Sm 0.249 0.051 0.044
Y1 Y 0.000 0.024 0.750
Ho1 Ho 0.000 0.410 0.250
```

Computed properties:
**Calculated volume**: 34.622 A^3/atom
**Energy of formation**: 10.84 kJ per mole of atoms
**Final energy**: -191.9 eV for the cell shown

=====

(6)
VASP calculation (PBE-GGA) on crystalline Nd2InBi at its relaxed geometry.

Structure (CIF):
```
data_Nd2InBi
_cell_length_a 4.696
_cell_length_b 25.032
_cell_length_c 4.516
_cell_angle_alpha 90.00
_cell_angle_beta 90.00
_cell_angle_gamma 90.00
_space_group_name_H-M_alt 'C m c m'
_space_group_IT_number 63
_space_group_name_Hall '-C 2c 2'
loop_
_atom_site_label
_atom_site_type_symbol
_atom_site_fract_x
_atom_site_fract_y
_atom_site_fract_z
Nd1 Nd 0.000 0.063 0.250
Nd2 Nd 0.000 0.318 0.250
In1 In 0.000 0.459 0.250
Bi1 Bi 0.000 0.189 0.250
```

Computed properties:
**Energy relative to the lowest polymorph listed for this composition**: 0.0000 eV/atom
**Calculated volume**: 33.178 A^3/atom
**Energy of formation**: -65.81 kJ per mole of atoms
**Final energy**: -75.5 eV for the cell shown

=====

(7)
VASP calculation (PBE-GGA) on crystalline SiHgIr2 at its relaxed geometry.

Structure (CIF):
```
data_SiHgIr2
_cell_length_a 7.038
_cell_length_b 7.038
_cell_length_c 5.452
_cell_angle_alpha 90.00
_cell_angle_beta 90.00
_cell_angle_gamma 90.00
_space_group_name_H-M_alt 'I -4 2 d'
_space_group_IT_number 122
_space_group_name_Hall 'I -4 2bw'
loop_
_atom_site_label
_atom_site_type_symbol
_atom_site_fract_x
_atom_site_fract_y
_atom_site_fract_z
Si1 Si 0.000 0.000 0.000
Hg1 Hg 0.000 0.000 0.500
Ir1 Ir 0.192 0.250 0.125
```

Computed properties:
**Energy relative to the lowest polymorph listed for this composition**: 0.3333 eV/atom
**Calculated volume**: 16.876 A^3/atom
**Final energy**: -91.5 eV for the cell shown
**Formation energy from raw total energies**: 0.1424 eV/atom

=====

(8)
VASP calculation (PBE-GGA) on crystalline AcPr2V at its relaxed geometry.

Structure (CIF):
```
data_AcPr2V
_cell_length_a 3.6019
_cell_length_b 3.6019
_cell_length_c 36.1922
_cell_angle_alpha 90.00
_cell_angle_beta 90.00
_cell_angle_gamma 120.00
_space_group_name_H-M_alt 'R -3 m'
_space_group_IT_number 166
_space_group_name_Hall '-R 3 2"'
loop_
_atom_site_label
_atom_site_type_symbol
_atom_site_fract_x
_atom_site_fract_y
_atom_site_fract_z
Ac1 Ac 0.0000 0.0000 0.0000
Pr1 Pr 0.0000 0.0000 0.4207
V1 V 0.0000 0.0000 0.5000
```

Computed properties:
**Calculated volume**: 33.886 A^3/atom
**Energy of formation**: 67.98 kJ per mole of atoms
**Final energy**: -59.9 eV for the cell shown

=====

(9)
VASP calculation (PBE-GGA) on crystalline CaTcHg2 at its relaxed geometry.

Structure (CIF):
```
data_CaTcHg2
_cell_length_a 4.606
_cell_length_b 4.606
_cell_length_c 19.439
_cell_angle_alpha 90.00
_cell_angle_beta 90.00
_cell_angle_gamma 90.00
_space_group_name_H-M_alt 'I -4 2 d'
_space_group_IT_number 122
_space_group_name_Hall 'I -4 2bw'
loop_
_atom_site_label
_atom_site_type_symbol
_atom_site_fract_x
_atom_site_fract_y
_atom_site_fract_z
Ca1 Ca 0.000 0.000 0.000
Tc1 Tc 0.000 0.000 0.500
Hg1 Hg 0.194 0.250 0.625
```

Computed properties:
**Energy relative to the lowest polymorph listed for this composition**: 0.3225 eV/atom
**Calculated volume**: 25.778 A^3/atom
**Energy of formation**: 53.39 kJ per mole of atoms
**Final energy**: -43.0 eV for the cell shown

=====

(10)
VASP calculation (PBE-GGA) on crystalline RbTe2F at its relaxed geometry.

Structure (CIF):
```
data_RbTe2F
_cell_length_a 4.184
_cell_length_b 4.184
_cell_length_c 31.691
_cell_angle_alpha 90.00
_cell_angle_beta 90.00
_cell_angle_gamma 90.00
_space_group_name_H-M_alt 'I -4 2 d'
_space_group_IT_number 122
_space_group_name_Hall 'I -4 2bw'
loop_
_atom_site_label
_atom_site_type_symbol
_atom_site_fract_x
_atom_site_fract_y
_atom_site_fract_z
Rb1 Rb 0.000 0.000 0.000
Te1 Te 0.249 0.250 0.625
F1 F 0.000 0.000 0.500
```

Computed properties:
**Energy relative to the lowest polymorph listed for this composition**: 0.0000 eV/atom
**Calculated volume**: 34.675 A^3/atom
**Final energy**: -54.8 eV for the cell shown
**Formation energy from raw total energies**: -1.1419 eV/atom

=====

(11)
VASP calculation (PBE-GGA) on crystalline Er8Ru5Au at its relaxed geometry.

Structure (CIF):
```
data_Er8Ru5Au
_cell_length_a 8.555
_cell_length_b 8.555
_cell_length_c 8.441
_cell_angle_alpha 90.00
_cell_angle_beta 90.00
_cell_angle_gamma 90.00
_space_group_name_H-M_alt 'I -4'
_space_group_IT_number 82
loop_
_space_group_symop_operation_xyz
'x,y,z'
'y,-x,-z'
'-x,-y,z'
'-y,x,-z'
'x+1/2,y+1/2,z+1/2'
'y+1/2,-x+1/2,-z+1/2'
'-x+1/2,-y+1/2,z+1/2'
'-y+1/2,x+1/2,-z+1/2'
loop_
_atom_site_label
_atom_site_type_symbol
_atom_site_fract_x
_atom_site_fract_y
_atom_site_fract_z
Er1 Er 0.066 0.326 0.055
Er2 Er 0.072 0.185 0.676
Ru1 Ru 0.000 0.500 0.750
Ru2 Ru 0.143 0.250 0.362
Au1 Au 0.000 0.000 0.000
```

Computed properties:
**Calculated volume**: 22.065 A^3/atom
**Energy of formation**: -32.98 kJ per mole of atoms
**Final energy**: -181.9 eV for the cell shown

=====

(12)
VASP calculation (PBE-GGA) on crystalline Pm3RuCl3 at its relaxed geometry.

Structure (CIF):
```
data_Pm3RuCl3
_cell_length_a 8.556
_cell_length_b 4.137
_cell_length_c 11.935
_cell_angle_alpha 90.00
_cell_angle_beta 90.21
_cell_angle_gamma 90.00
_space_group_name_H-M_alt 'P 1 21/m 1'
_space_group_IT_number 11
loop_
_space_group_symop_operation_xyz
'x,y,z'
'-x,-y,-z'
'-x,y+1/2,-z'
'x,-y+1/2,z'
loop_
_atom_site_label
_atom_site_type_symbol
_atom_site_fract_x
_atom_site_fract_y
_atom_site_fract_z
Pm1 Pm 0.104 0.250 0.167
Pm2 Pm 0.143 0.250 0.638
Pm3 Pm 0.289 0.750 0.398
Ru1 Ru 0.064 0.250 0.400
Cl1 Cl 0.115 0.250 0.901
Cl2 Cl 0.327 0.750 0.153
Cl3 Cl 0.432 0.750 0.625
```

Computed properties:
**Calculated volume**: 30.178 A^3/atom
**Final energy**: -78.4 eV for the cell shown
**Formation energy from raw total energies**: -1.4463 eV/atom